A PBEsol-optimized structure of MgSiTe2. Source: the Alexandria database, functional SCAN.

Cell and atoms, written as POSCAR:
```
MgSiTe2
1.0
-0.012 -3.701 -3.484
1.629 -4.655 1.231
-3.314 -3.835 0.378
Mg Te Si
1 2 1
direct
0.500 0.500 0.500 Mg
0.250 0.250 0.250 Te
0.750 0.750 0.750 Te
0.000 0.000 0.000 Si
```

Properties
**E_form (uncorrected)**: 0.185 eV per atom

***

A PBEsol-optimized structure of BaSc3. Source: the Alexandria database, functional SCAN.

Cell and atoms, written as POSCAR:
```
BaSc3
1.0
-3.079 -1.267 -1.565
2.304 -5.065 -0.432
-1.606 1.833 5.997
Sc Ba
3 1
direct
0.500 0.000 0.000 Sc
0.772 0.772 0.544 Sc
0.228 0.228 0.456 Sc
0.000 0.500 0.000 Ba
```

***

A PBEsol-optimized structure of SrZn2Tc. Source: the Alexandria database, functional SCAN.

Cell and atoms, written as POSCAR:
```
SrZn2Tc
1.0
4.744 0.000 0.000
0.000 4.654 0.000
-2.372 -2.327 3.341
Sr Tc Zn
1 1 2
direct
0.500 0.000 0.000 Sr
0.000 0.500 0.000 Tc
0.245 0.245 0.489 Zn
0.755 0.755 0.511 Zn
```

***

A PBEsol-optimized structure of Tl3TcRu. Source: the Alexandria database, functional SCAN.

Cell and atoms, written as POSCAR:
```
Tl3TcRu
1.0
5.114 0.000 0.000
0.000 5.114 0.000
0.000 0.000 5.114
Tl Ru Tc
3 1 1
direct
0.000 0.500 0.000 Tl
0.500 0.000 0.000 Tl
0.000 0.000 0.500 Tl
0.000 0.000 0.000 Ru
0.500 0.500 0.500 Tc
```

***

A PBEsol-optimized structure of KAlSi2. Source: the Alexandria database, functional SCAN.

Cell and atoms, written as POSCAR:
```
KAlSi2
1.0
3.450 0.000 0.000
0.000 3.450 0.000
0.000 0.000 7.156
Si Al K
2 1 1
direct
0.000 0.000 0.164 Si
0.000 0.000 0.836 Si
0.500 0.500 0.000 Al
0.500 0.500 0.500 K
```

Properties
**E_form (uncorrected)**: 0.153 eV per atom

***

A PBEsol-optimized structure of Zr. Source: the Alexandria database, functional SCAN.

Cell and atoms, written as POSCAR:
```
Zr
1.0
-0.648 3.073 0.279
-2.459 1.238 -1.538
-2.552 0.934 1.599
Zr
1
direct
0.000 0.000 0.000 Zr
```

***

A PBEsol-optimized structure of KCoP. Source: the Alexandria database, functional SCAN.

Cell and atoms, written as POSCAR:
```
KCoP
1.0
-0.825 2.149 3.891
-3.076 -1.639 2.879
1.320 -1.830 3.917
Co K P
1 1 1
direct
0.000 0.000 0.000 Co
0.500 0.500 0.500 K
0.250 0.250 0.250 P
```

***

A PBEsol-optimized structure of BaSb2MoI. Source: the Alexandria database, functional SCAN.

Cell and atoms, written as POSCAR:
```
BaSb2MoI
1.0
5.163 0.000 0.000
0.000 5.163 0.000
0.000 0.000 5.951
Sb Ba I Mo
2 1 1 1
direct
0.500 0.000 0.000 Sb
0.000 0.500 0.000 Sb
0.500 0.500 0.500 Ba
0.000 0.000 0.500 I
0.000 0.000 0.000 Mo
```

Properties
**E_form (uncorrected)**: -0.265 eV per atom

***

The evaluated electronic total energy for the records listed, in turn: -22.1879; -20.1781; -20.6172; -56.2594; -8.8754; -30.6367; -11.4916; -37.4044 eV per atom.